PBE-GGA Fe5W, relaxed; calculated formation energy = 0.15 eV per atom; mass density = 10967 kg/m3; density of states at the Fermi level = 1.12 states/eV/atom; total energy = -9.057 eV per atom; size of the total moment = 1.849 μB per cell
1.0
4.0944 0.0000 0.0000
0.0000 1.2627 6.7808
0.0000 -1.2627 6.7808
Fe W
5 1
Cartesian
0.0000 0.0000 0.0000
0.0000 0.0000 4.2983
0.0000 0.0000 8.9209
2.0472 0.0000 1.4246
2.0472 0.0000 10.2692
2.0472 0.0000 5.8191